# 1
Crystalline Er2TmAg at its relaxed geometry, computed with PBE-GGA.

Results
Its energy is -3.896 eV/atom. The offset from the most stable computed form comes out at 134.9 kJ/mol of formula units. Its crystal system is trigonal. The calculation puts the formation energy at 0.22 eV per atom.

Cell lengths 3.3598, 3.3598, 34.7272 Å; angles 90.00, 90.00, 120.00 degrees
Last column: nearest neighbours and their distance in Å.
Space group R-3m (No. 166, hexagonal axes)
Unique sites:
Er  0.0000  0.0000  0.0966  3 Ag 3.11, 1 Tm 3.35, 6 Er 3.36
Tm  0.0000  0.0000  0.0000  2 Er 3.35, 6 Tm 3.36
Ag  0.0000  0.0000  0.5000  6 Er 3.11, 6 Ag 3.36

---

# 2
Crystalline Er3TmAg at its relaxed geometry, computed with PBE-GGA.

Results
Its energy is -4.216 eV/atom. Its crystal system is monoclinic. The calculation puts the formation energy at -0.01 eV per atom.

Cell lengths 10.9592, 7.3450, 7.6510 Å; angles 90.00, 111.16, 90.00 degrees
Last column: nearest neighbours and their distance in Å.
Space group C2/m (No. 12)
Unique sites:
Er  0.0590  0.0000  0.2397  2 Ag 3.23-3.26, 7 Er 3.39-3.44
Er  0.1626  0.2501  0.6478  2 Ag 3.11, 3 Tm 3.39-3.44, 5 Er 3.39-3.46
Tm  0.0593  0.5000  0.2404  2 Ag 3.21-3.23, 6 Er 3.39-3.44, 1 Tm 3.43
Ag  0.2485  0.5000  0.0000  6 Er 3.11-3.26, 2 Tm 3.21-3.23

---

# 3
Crystalline Er6TmAg at its relaxed geometry, computed with PBE-GGA.

Results
Its energy is -4.289 eV/atom. Its crystal system is trigonal. The calculation puts the formation energy at 0.05 eV per atom.

Cell lengths 9.1723, 9.1723, 9.6628 Å; angles 90.00, 90.00, 120.00 degrees
Last column: nearest neighbours and their distance in Å.
Space group R-3 (No. 148, hexagonal axes)
Unique sites:
Er  0.0299  0.7770  0.2086  1 Ag 2.98, 2 Er 3.23-3.25
Tm  0.0000  0.0000  0.5000  12 Er 3.43-3.57
Ag  0.0000  0.0000  0.0000  6 Er 2.98

---

# 4
Crystalline Er2TmAg2 at its relaxed geometry, computed with PBE-GGA.

Results
Its energy is -4.109 eV/atom. The offset from the most stable computed form comes out at 0.0 kJ/mol of formula units. Its crystal system is orthorhombic. The calculation puts the formation energy at -0.25 eV per atom.

Cell lengths 3.5890, 26.5968, 5.1820 Å; angles 90.00, 90.00, 90.00 degrees
Last column: nearest neighbours and their distance in Å.
Space group Cmcm (No. 63)
Unique sites:
Er  0.0000  0.0474  0.2500  8 Ag 3.09-3.15
Er  0.0000  0.2343  0.2500  2 Ag 3.04, 4 Er 3.26
Tm  0.0000  0.1457  0.7500  6 Ag 3.15, 2 Er 3.50
Ag  0.0000  0.3581  0.7500  4 Er 3.04-3.09, 4 Tm 3.15
Ag  0.0000  0.4518  0.2500  6 Er 3.11-3.15, 2 Tm 3.15

---

# 5
Crystalline Er2TmAg at its relaxed geometry, computed with PBE-GGA.

Results
Its energy is -4.114 eV/atom. The offset from the most stable computed form comes out at 50.9 kJ/mol of formula units. Its crystal system is tetragonal. The calculation puts the formation energy at 0.00 eV per atom.

Cell lengths 5.3219, 5.3219, 3.7504 Å; angles 90.00, 90.00, 90.00 degrees
Last column: nearest neighbours and their distance in Å.
Space group P4/mmm (No. 123)
Unique sites:
Er  0.0000  0.5000  0.0000  4 Tm 3.26, 4 Ag 3.26
Tm  0.0000  0.0000  0.5000  8 Er 3.26
Ag  0.5000  0.5000  0.5000  8 Er 3.26

---

# 6
Crystalline Er3TmAg4 at its relaxed geometry, computed with PBE-GGA.

Results
Its energy is -4.031 eV/atom. Its crystal system is orthorhombic. The calculation puts the formation energy at -0.34 eV per atom.

Cell lengths 3.5642, 5.1180, 10.2342 Å; angles 90.00, 90.00, 90.00 degrees
Last column: nearest neighbours and their distance in Å.
Space group Pmmm (No. 47)
Unique sites:
Er  0.0000  0.0000  0.0000  8 Ag 3.12-3.13
Er  0.0000  0.5000  0.2502  8 Ag 3.12
Tm  0.0000  0.0000  0.5000  8 Ag 3.11-3.12
Ag  0.5000  0.0000  0.2511  2 Tm 3.11, 6 Er 3.12-3.13
Ag  0.5000  0.5000  0.0000  8 Er 3.12
Ag  0.5000  0.5000  0.5000  4 Er 3.12, 4 Tm 3.12